No. 1
Material: Sr5NdSb4
Method: DFT, GGA-PBE
State: optimized geometry

Lattice parameters (Å, degrees): 10.8184 10.8184 10.8184 153.88 131.97 55.49
Positions (direct):
Sr (0.0000, 0.0000, 0.0000)
Sr (0.0896, 0.3327, 0.7569)
Sr (0.4242, 0.6673, 0.7569)
Sr (0.5758, 0.3327, 0.2431)
Sr (0.9104, 0.6673, 0.2431)
Nd (0.5000, 0.0000, 0.5000)
Sb (0.2555, 0.5000, 0.7555)
Sb (0.3059, 0.8059, 0.5000)
Sb (0.6941, 0.1941, 0.5000)
Sb (0.7445, 0.5000, 0.2445)

Results
size of the total moment	1.00	Bohr magnetons per cell
calculated total energy	-3.87	eV per atom

---

No. 2
Material: SrNd3Sb3
Method: DFT, GGA-PBE
State: optimized geometry

Lattice parameters (Å, degrees): 8.3819 8.3819 8.3819 69.03 69.03 69.03
Positions (direct):
Sr (0.1663, 0.1663, 0.1663)
Sr (0.8337, 0.8337, 0.8337)
Nd (0.1423, 0.6884, 0.4077)
Nd (0.3116, 0.5923, 0.8577)
Nd (0.4077, 0.1423, 0.6884)
Nd (0.5923, 0.8577, 0.3116)
Nd (0.6884, 0.4077, 0.1423)
Nd (0.8577, 0.3116, 0.5923)
Sb (0.0432, 0.4254, 0.7892)
Sb (0.2108, 0.9568, 0.5746)
Sb (0.4254, 0.7892, 0.0432)
Sb (0.5746, 0.2108, 0.9568)
Sb (0.7892, 0.0432, 0.4254)
Sb (0.9568, 0.5746, 0.2108)

Results
size of the total moment	0.00	Bohr magnetons per cell
calculated total energy	-4.98	eV per atom

---

No. 3
Material: SrNd5Sb4
Method: DFT, GGA-PBE
State: optimized geometry

Lattice parameters (Å, degrees): 10.3970 10.6451 7.0075 90.00 90.00 90.00
Positions (direct):
Sr (0.2500, 0.2500, 0.1485)
Sr (0.7500, 0.7500, 0.8515)
Nd (0.0321, 0.0001, 0.7432)
Nd (0.0321, 0.4999, 0.7432)
Nd (0.2500, 0.7500, 0.3633)
Nd (0.4679, 0.0001, 0.7432)
Nd (0.4679, 0.4999, 0.7432)
Nd (0.5321, 0.9999, 0.2568)
Nd (0.5321, 0.5001, 0.2568)
Nd (0.7500, 0.2500, 0.6367)
Nd (0.9679, 0.9999, 0.2568)
Nd (0.9679, 0.5001, 0.2568)
Sb (0.0381, 0.2500, 0.4962)
Sb (0.2500, 0.5482, 0.0418)
Sb (0.2500, 0.9518, 0.0418)
Sb (0.4619, 0.2500, 0.4962)
Sb (0.5381, 0.7500, 0.5038)
Sb (0.7500, 0.0482, 0.9582)
Sb (0.7500, 0.4518, 0.9582)
Sb (0.9619, 0.7500, 0.5038)

Results
size of the total moment	0.00	Bohr magnetons per cell
calculated total energy	-4.85	eV per atom

---

No. 4
Material: SrNdSb2
Method: DFT, GGA-PBE
State: optimized geometry

Lattice parameters (Å, degrees): 4.5282 4.5282 23.8474 90.00 90.00 120.00
Positions (direct):
Sr (0.0000, 0.0000, 0.0000)
Sr (0.3333, 0.6667, 0.6667)
Sr (0.6667, 0.3333, 0.3333)
Nd (0.0000, 0.0000, 0.5000)
Nd (0.3333, 0.6667, 0.1667)
Nd (0.6667, 0.3333, 0.8333)
Sb (0.0000, 0.0000, 0.2444)
Sb (0.0000, 0.0000, 0.7556)
Sb (0.3333, 0.6667, 0.4222)
Sb (0.3333, 0.6667, 0.9111)
Sb (0.6667, 0.3333, 0.0889)
Sb (0.6667, 0.3333, 0.5778)

Results
size of the total moment	0.00	Bohr magnetons per cell
ΔE to the lowest computed polymorph	0	meV per atom

---

No. 5
Material: SrNdSb2
Method: DFT, GGA-PBE
State: optimized geometry

Lattice parameters (Å, degrees): 5.9492 5.9492 3.4799 90.00 90.00 90.00
Positions (direct):
Sr (0.0000, 0.0000, 0.0000)
Nd (0.5000, 0.5000, 0.0000)
Sb (0.0000, 0.5000, 0.5000)
Sb (0.5000, 0.0000, 0.5000)

Results
size of the total moment	0.04	Bohr magnetons per cell
ΔE to the lowest computed polymorph	91	meV per atom

---

No. 6
Material: SrNdSb2
Method: DFT, GGA-PBE
State: optimized geometry

Lattice parameters (Å, degrees): 4.7658 4.7658 22.2864 90.00 90.00 120.00
Positions (direct):
Sr (0.0000, 0.0000, 0.0000)
Sr (0.3333, 0.6667, 0.6667)
Sr (0.6667, 0.3333, 0.3333)
Nd (0.0000, 0.0000, 0.8267)
Nd (0.3333, 0.6667, 0.4934)
Nd (0.6667, 0.3333, 0.1600)
Sb (0.0000, 0.0000, 0.4212)
Sb (0.0000, 0.0000, 0.5731)
Sb (0.3333, 0.6667, 0.0878)
Sb (0.3333, 0.6667, 0.2398)
Sb (0.6667, 0.3333, 0.7545)
Sb (0.6667, 0.3333, 0.9064)

Results
size of the total moment	0.01	Bohr magnetons per cell
ΔE to the lowest computed polymorph	82	meV per atom

---

No. 7
Material: SrNd3Sb4
Method: DFT, GGA-PBE
State: optimized geometry

Lattice parameters (Å, degrees): 7.9473 9.1927 7.9050 90.00 109.67 90.00
Positions (direct):
Sr (0.0000, 0.1238, 0.2500)
Sr (0.0000, 0.8762, 0.7500)
Nd (0.0000, 0.3746, 0.7500)
Nd (0.0000, 0.6254, 0.2500)
Nd (0.5000, 0.1242, 0.7500)
Nd (0.5000, 0.3750, 0.2500)
Nd (0.5000, 0.6250, 0.7500)
Nd (0.5000, 0.8758, 0.2500)
Sb (0.2530, 0.3802, 0.5053)
Sb (0.2530, 0.6198, 0.0053)
Sb (0.2608, 0.1314, 0.9988)
Sb (0.2608, 0.8686, 0.4988)
Sb (0.7392, 0.1314, 0.5012)
Sb (0.7392, 0.8686, 0.0012)
Sb (0.7470, 0.3802, 0.9947)
Sb (0.7470, 0.6198, 0.4947)

Results
size of the total moment	0.00	Bohr magnetons per cell
calculated total energy	-5.14	eV per atom

---

No. 8
Material: Sr3NdTh2Sb6
Method: DFT, GGA-PBE
State: optimized geometry

Lattice parameters (Å, degrees): 8.0032 8.0032 8.1228 99.45 99.45 120.01
Positions (direct):
Sr (0.0000, 0.0000, 0.0000)
Sr (0.3343, 0.6657, 0.0000)
Sr (0.6657, 0.3343, 0.0000)
Nd (0.5000, 0.5000, 0.5000)
Th (0.1668, 0.8332, 0.5000)
Th (0.8332, 0.1668, 0.5000)
Sb (0.0868, 0.4229, 0.2688)
Sb (0.2408, 0.2408, 0.7311)
Sb (0.4229, 0.0868, 0.2688)
Sb (0.5771, 0.9132, 0.7312)
Sb (0.7592, 0.7592, 0.2689)
Sb (0.9132, 0.5771, 0.7312)

Results
size of the total moment	0.00	Bohr magnetons per cell
calculated total energy	-5.12	eV per atom